*A*
First-principles (PBE) data for a relaxed structure of NaNi2Rh2, as listed in Alexandria.

The structure belongs to space group P4/mbm (No. 127); the cell edges are 7.480, 7.480 and 2.621 Å and the angles 90.00°, 90.00° and 90.00°. The distinct sites, in fractional coordinates, are Na at (0.000, 0.000, 0.000), Ni at (0.173, 0.327, 0.500) and Rh at (0.124, 0.624, 0.000).

The calculation puts the volume at 146.6 Å³/cell.

=====

*B*
First-principles (PBE) data for a relaxed structure of NaNi2Rh2, as listed in Alexandria.

The structure belongs to space group P4/mbm (No. 127); the cell edges are 7.442, 7.442 and 2.626 Å and the angles 90.00°, 90.00° and 90.00°. The distinct sites, in fractional coordinates, are Na at (0.000, 0.000, 0.000), Ni at (0.118, 0.382, 0.000) and Rh at (0.174, 0.674, 0.500).

The calculation puts the volume at 145.4 Å³/cell.

=====

*A* (0.008 eV/atom below the next structure)

=====

*A*
First-principles (PBE) data for a relaxed structure of NaNiRh3, as listed in Alexandria.

The structure belongs to space group Pm-3m (No. 221); the cell edges are 4.476, 4.476 and 4.476 Å and the angles 90.00°, 90.00° and 90.00°. The distinct sites, in fractional coordinates, are Na at (0.000, 0.000, 0.000), Ni at (0.500, 0.500, 0.500) and Rh at (0.000, 0.000, 0.500).

The calculation puts the volume at 89.7 Å³/cell.

=====

*B*
First-principles (PBE) data for a relaxed structure of NaNiRh3, as listed in Alexandria.

The structure belongs to space group Pm-3m (No. 221); the cell edges are 4.562, 4.562 and 4.562 Å and the angles 90.00°, 90.00° and 90.00°. The distinct sites, in fractional coordinates, are Na at (0.000, 0.000, 0.000), Ni at (0.500, 0.500, 0.500) and Rh at (0.000, 0.500, 0.500).

The calculation puts the volume at 94.9 Å³/cell.

=====

*B* (0.996 eV/atom below the next structure)

=====

*A*
First-principles (PBE) data for a relaxed structure of NaNi2Ru, as listed in Alexandria.

The structure belongs to space group I-42d (No. 122); the cell edges are 6.901, 6.901 and 5.383 Å and the angles 90.00°, 90.00° and 90.00°. The distinct sites, in fractional coordinates, are Na at (0.000, 0.000, 0.000), Ni at (0.211, 0.750, 0.625) and Ru at (0.000, 0.000, 0.500).

The calculation puts the volume at 256.4 Å³/cell.

=====

*B*
First-principles (PBE) data for a relaxed structure of NaNi2Ru, as listed in Alexandria.

The structure belongs to space group Fm-3m (No. 225); the cell edges are 6.047, 6.047 and 6.047 Å and the angles 90.00°, 90.00° and 90.00°. The distinct sites, in fractional coordinates, are Na at (0.000, 0.000, 0.000), Ni at (0.250, 0.250, 0.250) and Ru at (0.000, 0.000, 0.500).

The calculation puts the volume at 221.1 Å³/cell.

=====

*B* (0.257 eV/atom below the next structure)

=====

*A*
First-principles (PBE) data for a relaxed structure of Na3NiRu, as listed in Alexandria.

The structure belongs to space group Pm-3m (No. 221); the cell edges are 5.542, 5.542 and 5.542 Å and the angles 90.00°, 90.00° and 90.00°. The distinct sites, in fractional coordinates, are Na at (0.000, 0.000, 0.500), Ni at (0.500, 0.500, 0.500) and Ru at (0.000, 0.000, 0.000).

The calculation puts the volume at 170.2 Å³/cell.

=====

*B*
First-principles (PBE) data for a relaxed structure of Na3NiRu, as listed in Alexandria.

The structure belongs to space group Pm-3m (No. 221); the cell edges are 5.171, 5.171 and 5.171 Å and the angles 90.00°, 90.00° and 90.00°. The distinct sites, in fractional coordinates, are Na at (0.000, 0.000, 0.500), Ni at (0.000, 0.000, 0.000) and Ru at (0.500, 0.500, 0.500).

The calculation puts the volume at 138.3 Å³/cell.

=====

*B* (0.170 eV/atom below the next structure)

=====

*A*
First-principles (PBE) data for a relaxed structure of Na2NiRu, as listed in Alexandria.

The structure belongs to space group Fm-3m (No. 225); the cell edges are 6.579, 6.579 and 6.579 Å and the angles 90.00°, 90.00° and 90.00°. The distinct sites, in fractional coordinates, are Na at (0.250, 0.250, 0.250), Ni at (0.000, 0.000, 0.000) and Ru at (0.000, 0.000, 0.500).

The calculation puts the volume at 284.7 Å³/cell.

=====

*B*
First-principles (PBE) data for a relaxed structure of Na2NiRu, as listed in Alexandria.

The structure belongs to space group I-42d (No. 122); the cell edges are 7.940, 7.940 and 4.924 Å and the angles 90.00°, 90.00° and 90.00°. The distinct sites, in fractional coordinates, are Na at (0.220, 0.250, 0.125), Ni at (0.000, 0.000, 0.000) and Ru at (0.000, 0.000, 0.500).

The calculation puts the volume at 310.4 Å³/cell.

=====

*B* (0.095 eV/atom below the next structure)

=====

*A*
First-principles (PBE) data for a relaxed structure of NaNiRu2, as listed in Alexandria.

The structure belongs to space group Fm-3m (No. 225); the cell edges are 6.062, 6.062 and 6.062 Å and the angles 90.00°, 90.00° and 90.00°. The distinct sites, in fractional coordinates, are Na at (0.000, 0.000, 0.000), Ni at (0.000, 0.000, 0.500) and Ru at (0.250, 0.250, 0.250).

The calculation puts the volume at 222.7 Å³/cell.

=====

*B*
First-principles (PBE) data for a relaxed structure of NaNiRu2, as listed in Alexandria.

The structure belongs to space group I-42d (No. 122); the cell edges are 3.651, 3.651 and 18.916 Å and the angles 90.00°, 90.00° and 90.00°. The distinct sites, in fractional coordinates, are Na at (0.000, 0.000, 0.000), Ni at (0.000, 0.000, 0.500) and Ru at (0.217, 0.250, 0.625).

The calculation puts the volume at 252.2 Å³/cell.

=====

*A* (0.074 eV/atom below the next structure)

=====

*A*
First-principles (PBE) data for a relaxed structure of NaNiS3, as listed in Alexandria.

The structure belongs to space group Pm-3m (No. 221); the cell edges are 4.766, 4.766 and 4.766 Å and the angles 90.00°, 90.00° and 90.00°. The distinct sites, in fractional coordinates, are Na at (0.000, 0.000, 0.000), Ni at (0.500, 0.500, 0.500) and S at (0.000, 0.000, 0.500).

The calculation puts the volume at 108.3 Å³/cell.

=====

*B*
First-principles (PBE) data for a relaxed structure of NaNiS3, as listed in Alexandria.

The structure belongs to space group Pm-3m (No. 221); the cell edges are 4.514, 4.514 and 4.514 Å and the angles 90.00°, 90.00° and 90.00°. The distinct sites, in fractional coordinates, are Na at (0.000, 0.000, 0.000), Ni at (0.500, 0.500, 0.500) and S at (0.000, 0.500, 0.500).

The calculation puts the volume at 92.0 Å³/cell.

=====

*B* (1.368 eV/atom below the next structure)